An optimized crystal structure of PmSmTmGa, computed with PBE.

Results
V   27.46 Å³ per atom
ΔH_f (0 K)   -0.109 eV/atom
Density of states at the Fermi level   6.87 states/eV/f.u.

Unit cell a=7.602 b=7.602 c=7.602 alpha=90.00 beta=90.00 gamma=90.00
Space group F-43m (No. 216)
Asymmetric unit:
Pm 0.000 0.000 0.000
Sm 0.000 0.000 0.500
Tm 0.250 0.250 0.250
Ga 0.250 0.250 0.750